Entry from Alexandria: a relaxed MnCr2RuO8 crystal (PBE with a Hubbard U).

Geometry as CIF:
```
data_MnCr2RuO8
_chemical_formula_sum 'Mn1 Cr2 Ru1 O8'
_symmetry_space_group_name_H-M 'P 1 2/m 1'
_symmetry_Int_Tables_number 10
_symmetry_space_group_name_Hall '-P 2y'
_cell_length_a 4.538
_cell_length_b 6.038
_cell_length_c 4.547
_cell_angle_alpha 90.00
_cell_angle_beta 90.82
_cell_angle_gamma 90.00
loop_
_atom_site_label
_atom_site_type_symbol
_atom_site_fract_x
_atom_site_fract_y
_atom_site_fract_z
Mn1 Mn 0.000 0.000 0.000
Cr1 Cr 0.500 0.245 0.500
Ru1 Ru 0.000 0.500 0.000
O1 O 0.194 0.249 0.808
O2 O 0.298 0.500 0.300
O3 O 0.300 0.000 0.302
```

Summary:
E = -7.3324 eV/atom
magnetization = 8.02 μB/f.u.